Below is a relaxed Tb3Er9Th2 crystal, with properties calculated at the PBE level.

Properties
Crystal system = monoclinic
Total DFT energy (no corrections) = -4.931 eV per atom
D(E_F) = 24.7 states/eV/cell

a b c (Å): 3.506 14.539 16.592
angles (deg): 41.21 58.12 52.94
Atoms (fractional coordinates):
1 Tb 0.000 0.000 0.000
2 Tb 0.915 0.093 0.341
3 Tb 0.085 0.907 0.659
4 Er 0.999 0.500 0.500
5 Er 0.887 0.152 0.693
6 Er 0.112 0.848 0.307
7 Er 0.200 0.793 0.928
8 Er 0.801 0.207 0.072
9 Er 0.270 0.715 0.577
10 Er 0.729 0.285 0.423
11 Er 0.951 0.545 0.875
12 Er 0.051 0.455 0.125
13 Th 0.121 0.382 0.770
14 Th 0.879 0.618 0.230